# PtRh2Pb

An optimized crystal structure of PtRh2Pb (GGA-PBE, Alexandria via LeMat-Bulk).

Results
The calculation puts the relative energy among the computed polymorphs at 0.43 eV/f.u.

abc: 9.160 3.208 4.746
angles: 90.00 102.06 90.00
Space group Cm (No. 8)
Asymmetric unit:
Pt1 0.000 0.000 0.000
Rh1 0.008 0.500 0.545
Rh2 0.254 0.000 0.780
Pb1 0.255 0.500 0.284



# Pm2PrHo5Er

An optimized crystal structure of Pm2PrHo5Er (GGA-PBE, Alexandria via LeMat-Bulk).

Results
The energy is -4.369 eV/atom.

abc: 8.758 8.758 15.317
angles: 90.00 90.00 90.00
Space group I4/mcm (No. 140)
Asymmetric unit:
Pm1 0.116 0.384 0.000
Pr1 0.000 0.000 0.250
Ho1 0.000 0.000 0.000
Ho2 0.209 0.291 0.363
Er1 0.000 0.500 0.250



# Fe2CuP

An optimized crystal structure of Fe2CuP (GGA-PBE, Alexandria via LeMat-Bulk).

Results
The energy is -6.610 eV/atom.

abc: 2.690 3.651 4.951
angles: 90.00 105.65 90.00
Space group Pm (No. 6)
Asymmetric unit:
Fe1 0.000 0.000 0.000
Fe2 0.352 0.500 0.709
Cu1 0.735 0.000 0.474
P1 0.590 0.500 0.181



# NbMo

An optimized crystal structure of NbMo (GGA-PBE, Alexandria via LeMat-Bulk).

Results
The energy is -10.066 eV/atom.

abc: 8.8814 8.8814 3.1906
angles: 90.00 90.00 120.00
Space group P6_3/m (No. 176)
Asymmetric unit:
Nb1 0.1516 0.8440 0.2500
Mo1 0.1295 0.5611 0.7500



# Rb3Pu2ScS6

An optimized crystal structure of Rb3Pu2ScS6 (GGA-PBE, Alexandria via LeMat-Bulk).

Results
For the formation energy without anion corrections, the calculation gives -1.594 eV/atom.

abc: 7.022 12.163 7.990
angles: 90.00 107.05 90.00
Space group C2/m (No. 12)
Asymmetric unit:
Rb1 0.000 0.000 0.000
Rb2 0.000 0.332 0.000
Pu1 0.000 0.167 0.500
Sc1 0.000 0.500 0.500
S1 0.223 0.340 0.688
S2 0.242 0.000 0.688



# LaY4Cr

An optimized crystal structure of LaY4Cr (GGA-PBE, Alexandria via LeMat-Bulk).

Results
The energy is -6.159 eV/atom.

abc: 9.227 9.227 9.227
angles: 90.00 90.00 90.00
Space group F-43m (No. 216)
Asymmetric unit:
La1 0.000 0.000 0.000
Y1 0.125 0.125 0.625
Cr1 0.250 0.250 0.250



# Pr2TmAl3Pd4

An optimized crystal structure of Pr2TmAl3Pd4 (GGA-PBE, Alexandria via LeMat-Bulk).

Results
The energy is -5.420 eV/atom.

abc: 4.399 4.399 10.841
angles: 90.00 90.00 90.00
Space group P-4m2 (No. 115)
Asymmetric unit:
Pr1 0.000 0.500 0.232
Tm1 0.000 0.000 0.500
Al1 0.000 0.500 0.883
Al2 0.500 0.500 0.500
Pd1 0.000 0.000 0.000
Pd2 0.000 0.500 0.651
Pd3 0.500 0.500 0.000



# Rb3Np2CdSe6

An optimized crystal structure of Rb3Np2CdSe6 (GGA-PBE, Alexandria via LeMat-Bulk).

Results
For the formation energy without anion corrections, the calculation gives -1.105 eV/atom.

abc: 7.387 12.791 8.342
angles: 90.00 107.08 90.00
Space group C2/m (No. 12)
Asymmetric unit:
Rb1 0.000 0.000 0.000
Rb2 0.000 0.337 0.000
Np1 0.000 0.167 0.500
Cd1 0.000 0.500 0.500
Se1 0.225 0.000 0.694
Se2 0.235 0.330 0.695